No. 1
LaOsW: optimized geometry, PBE.

POSCAR file:
```
LaOsW
1.0
7.767 -0.002 0.002
7.003 2.812 -0.018
0.764 -0.973 2.641
W La Os
1 1 1
Direct
0.316 0.316 0.684
0.005 0.005 0.995
0.679 0.679 0.321
```

Computed properties:
The calculation puts the energy above the lowest structure with this stoichiometry at 1.803 eV/f.u. As for the total energy: -9.064 eV per atom. As for the mass density: 14.80 Mg/m³.


No. 2
La2OsW: optimized geometry, PBE.

POSCAR file:
```
La2OsW
1.0
5.665 0.003 0.011
-2.651 5.085 -0.004
0.364 0.943 2.952
W La Os
1 2 1
Direct
0.500 0.500 0.000
0.000 0.000 0.000
0.500 0.000 0.500
0.000 0.500 0.500
```

Computed properties:
The calculation puts the energy above the lowest structure with this stoichiometry at 2.145 eV/f.u. As for the total energy: -7.809 eV per atom. As for the mass density: 12.73 Mg/m³.


No. 3
LaOs3W: optimized geometry, PBE.

POSCAR file:
```
LaOs3W
1.0
4.791 0.000 0.000
0.000 4.791 0.000
0.000 0.000 4.791
La Os W
1 3 1
Direct
0.500 0.500 0.500
0.500 0.000 0.000
0.000 0.000 0.500
0.000 0.500 0.000
0.000 0.000 0.000
```

Computed properties:
The calculation puts the energy above the lowest structure with this stoichiometry at 0.000 eV/f.u. As for the total energy: -9.180 eV per atom. As for the mass density: 13.49 Mg/m³.


No. 4
La2OsW: optimized geometry, PBE.

POSCAR file:
```
La2OsW
1.0
9.987 -0.010 -0.006
9.454 3.221 -0.006
9.454 1.562 2.817
La W Os
2 1 1
Direct
0.995 0.995 0.995
0.505 0.505 0.505
0.750 0.750 0.750
0.250 0.250 0.250
```

Computed properties:
The calculation puts the energy above the lowest structure with this stoichiometry at 3.019 eV/f.u. As for the total energy: -7.591 eV per atom. As for the mass density: 11.89 Mg/m³.